No. 1
8
Lattice="5.110 0.000 0.000 0.000 5.110 0.000 0.000 0.000 7.175" Properties=species:S:1:pos:R:3 comment="LaYCd2Hg2Au2 PBE optimized geometry" dft_energy_ha_per_atom=-0.1133 space_group="P-4m2, No. 115" density_g_cm3=11.06 pbc="T T T"
La 0.000 0.000 0.000
Y 2.555 2.555 3.587
Cd 0.000 0.000 3.587
Cd 2.555 2.555 0.000
Hg 0.000 2.555 1.882
Hg 2.555 0.000 5.293
Au 0.000 2.555 5.297
Au 2.555 0.000 1.878



No. 2
3
Lattice="0.000 3.552 3.552 3.552 0.000 3.552 3.552 3.552 0.000" Properties=species:S:1:pos:R:3 comment="ErLuAl PBE optimized geometry" dft_energy_ha_per_atom=-0.1386 space_group="F-43m, No. 216" density_g_cm3=6.84 pbc="T T T"
Er 0.000 0.000 0.000
Lu 1.776 1.776 1.776
Al 5.328 5.328 5.328



No. 3
12
Lattice="2.479 1.431 8.115 -2.479 1.431 8.115 0.000 -2.862 8.115" Properties=species:S:1:pos:R:3 comment="Tm3MgNi8 PBE optimized geometry" dft_energy_ha_per_atom=-0.1992 space_group="R3m, No. 160" density_g_cm3=9.62 pbc="T T T"
Tm 0.000 0.000 0.000
Tm 0.000 0.000 3.105
Tm 0.000 0.000 12.394
Mg 0.000 0.000 15.369
Ni -1.244 -0.718 9.726
Ni 0.000 -1.421 5.687
Ni -1.231 0.711 5.687
Ni 0.000 0.000 7.699
Ni 1.231 0.711 5.687
Ni 1.244 -0.718 9.726
Ni 0.000 1.436 9.726
Ni 0.000 0.000 19.877